Density functional theory data (PBE-GGA) for a geometry-optimized La2Sm3Y7 structure.

The structure in extended XYZ format:
```
12
Lattice="3.557 0.000 0.000 0.000 6.388 0.756 0.000 2.433 18.063" Properties=species:S:1:pos:R:3 pbc="T T T"
Y 1.778 2.776 9.216
Y 0.000 0.000 0.000
Y 1.778 8.019 15.791
Sm 1.778 3.194 0.378
Sm 0.000 1.567 6.251
La 1.778 4.072 12.446
Y 0.000 4.832 15.461
Sm 0.000 7.254 12.569
La 1.778 4.750 6.374
Y 0.000 3.990 3.359
Y 1.778 0.802 3.028
Y 1.778 6.046 9.604
```

Summary:
uncorrected energy: -5.686 eV/atom
space-group type: P2/m, No. 10
magnetic moment: 0.001 μB per cell

***

Density functional theory data (PBE-GGA) for a geometry-optimized Zr2SbBr structure.

The structure in extended XYZ format:
```
4
Lattice="6.116 0.077 0.000 3.230 5.194 0.000 -4.673 -2.636 2.937" Properties=species:S:1:pos:R:3 pbc="T T T"
Sb 3.058 0.039 1.469
Zr 0.000 0.000 0.000
Br 4.673 2.636 0.000
Zr 1.615 2.597 1.469
```

Summary:
space-group type: I-4m2, No. 119
magnetic moment: 0.515 μB per cell
excess energy over the best structure of this formula in the dataset: 0.443 eV per atom
formation energy from raw total energies: -11.10 kJ/mol of atoms

***

Density functional theory data (PBE-GGA) for a geometry-optimized K2As2Br structure.

The structure in extended XYZ format:
```
5
Lattice="3.880 0.000 0.000 0.000 3.880 0.000 1.940 1.940 9.672" Properties=species:S:1:pos:R:3 pbc="T T T"
Br 0.000 0.000 0.000
K 1.940 1.940 1.972
As 1.940 3.880 4.836
As 3.880 1.940 4.836
K 3.880 3.880 7.700
```

Summary:
space-group type: I4/mmm, No. 139
magnetic moment: 0.000 μB per cell
excess energy over the best structure of this formula in the dataset: 0.000 eV per atom
formation energy from raw total energies: -75.78 kJ/mol of atoms

***

magnetic moment of number 2 (Zr2SbBr)?
0.515 μB per cell

***

Which formula does entry 1 have?
La2Sm3Y7

***

What is the magnetic moment in the first record?
0.001 μB per cell

***

What is the magnetic moment in the second record?
0.515 μB per cell